Record 1
The following is a DFT calculation (PBE) of Ac2Pt after structural relaxation.

a = 5.4239 Å, b = 5.4475 Å, c = 13.8958 Å
α = 90.00°, β = 90.00°, γ = 90.00°
Space group Fmmm (No. 69)
One atom of each set of equivalent atoms:
Ac 0.0000 0.0000 0.1284
Pt 0.0000 0.0000 0.5000

- Energy: -16.3 eV per formula unit
- DOS at the Fermi energy: 4.089 states/eV/f.u.
- Spin magnetization: 0.0 μB/f.u.



Record 2
The following is a DFT calculation (PBE) of AcPt5 after structural relaxation.

a = 4.3141 Å, b = 12.6220 Å, c = 4.1386 Å
α = 90.00°, β = 90.00°, γ = 90.00°
Space group Cmmm (No. 65)
One atom of each set of equivalent atoms:
Ac 0.0000 0.0000 0.0000
Pt 0.0000 0.1812 0.5000
Pt 0.0000 0.3296 0.0000
Pt 0.0000 0.5000 0.5000

- Energy: -36.6 eV per formula unit
- DOS at the Fermi energy: 6.765 states/eV/f.u.
- Spin magnetization: 0.0 μB/f.u.



Record 3
The following is a DFT calculation (PBE) of Ac2Pt after structural relaxation.

a = 4.5045 Å, b = 7.5803 Å, c = 13.9989 Å
α = 90.00°, β = 90.00°, γ = 90.00°
Space group Cmce (No. 64)
One atom of each set of equivalent atoms:
Ac 0.0000 0.1627 0.1167
Pt 0.0000 0.0000 0.5000

- Energy: -16.6 eV per formula unit
- DOS at the Fermi energy: 2.602 states/eV/f.u.
- Spin magnetization: 0.0 μB/f.u.



Record 4
The following is a DFT calculation (PBE) of Ac2Pt after structural relaxation.

a = 6.1398 Å, b = 6.1398 Å, c = 12.4245 Å
α = 90.00°, β = 90.00°, γ = 90.00°
Space group I4_1/amd (No. 141, origin choice 2)
One atom of each set of equivalent atoms:
Ac 0.0000 0.2500 0.1188
Pt 0.0000 0.2500 0.8750

- Energy: -16.6 eV per formula unit
- DOS at the Fermi energy: 3.394 states/eV/f.u.
- Spin magnetization: 0.0 μB/f.u.



Record 5
The following is a DFT calculation (PBE) of AcPt3 after structural relaxation.

a = 4.0988 Å, b = 4.0988 Å, c = 11.0202 Å
α = 90.00°, β = 90.00°, γ = 90.00°
Space group I4/mmm (No. 139)
One atom of each set of equivalent atoms:
Ac 0.0000 0.0000 0.0000
Pt 0.0000 0.0000 0.2617
Pt 0.0000 0.0000 0.5000

- Energy: -23.6 eV per formula unit
- DOS at the Fermi energy: 2.453 states/eV/f.u.
- Spin magnetization: 0.0 μB/f.u.



Record 6
The following is a DFT calculation (PBE) of Ac3Pt2 after structural relaxation.

a = 7.6658 Å, b = 7.6658 Å, c = 21.2031 Å
α = 90.00°, β = 90.00°, γ = 120.00°
Space group R-3c (No. 167, hexagonal axes)
One atom of each set of equivalent atoms:
Ac 0.0000 0.3166 0.2500
Pt 0.0000 0.0000 0.1592

- Energy: -29.2 eV per formula unit
- DOS at the Fermi energy: 3.100 states/eV/f.u.
- Spin magnetization: 0.0 μB/f.u.



Record 7
The following is a DFT calculation (PBE) of Ac3Pt after structural relaxation.

a = 4.2302 Å, b = 18.2171 Å, c = 8.0295 Å
α = 90.00°, β = 90.00°, γ = 90.00°
Space group Cmcm (No. 63)
One atom of each set of equivalent atoms:
Ac 0.0000 0.0077 0.2500
Ac 0.0000 0.3431 0.5005
Pt 0.0000 0.2087 0.2500

- Energy: -20.6 eV per formula unit
- DOS at the Fermi energy: 4.884 states/eV/f.u.
- Spin magnetization: 0.0 μB/f.u.



Record 8
The following is a DFT calculation (PBE) of AcPt4 after structural relaxation.

a = 9.4081 Å, b = 9.4081 Å, c = 9.4081 Å
α = 90.00°, β = 90.00°, γ = 90.00°
Space group I-43m (No. 217)
One atom of each set of equivalent atoms:
Ac 0.2233 0.2233 0.7767
Pt 0.0000 0.0000 0.3509
Pt 0.0000 0.2500 0.5000
Pt 0.1026 0.1026 0.1026

- Energy: -31.4 eV per formula unit
- DOS at the Fermi energy: 6.280 states/eV/f.u.
- Spin magnetization: 0.0 μB/f.u.